Material: RbAg3Se2
Method: DFT, SCAN
State: single point on PBEsol structure

The structure belongs to space group C2/m (No. 12); the cell edges are 16.3346, 4.3132 and 8.8218 Å and the angles 90.00°, 113.41° and 90.00°. The asymmetric unit holds Rb at (0.1381, 0.0000, 0.0495), Ag at (0.0558, 0.0000, 0.4009), Ag at (0.0883, 0.5000, 0.6411), Ag at (0.1877, 0.5000, 0.4394), Se at (0.0198, 0.5000, 0.2109) and Se at (0.1973, 0.0000, 0.6965).

Its raw formation energy is -0.49 eV per atom.